A geometry-optimized KMn3S structure, computed with PBE.

```
KMn3S
1.0
4.594 0.000 0.000
0.000 4.594 0.000
0.000 0.000 4.594
K Mn S
1 3 1
direct
0.000 0.000 0.000
0.000 0.500 0.500
0.500 0.000 0.500
0.500 0.500 0.000
0.500 0.500 0.500
```

Calculated values
Energy relative to the elements, uncorrected, kcal/mol of atoms: 12.1
Fermi-level density of states, states/eV/atom: 0.7116
Volume, Å³/atom: 19.39
SG: Pm-3m
Electronic total energy, eV per cell: -30.11

A geometry-optimized NaSb2HS4 structure, computed with PBE.

```
NaSb2HS4
1.0
0.000 5.401 4.571
3.701 0.000 4.571
3.701 5.401 0.000
Na Sb H S
1 2 1 4
direct
0.000 0.000 0.000
0.264 0.264 0.236
0.764 0.764 0.736
0.705 0.705 0.295
0.215 0.688 0.312
0.504 0.951 0.496
0.688 0.215 0.785
0.951 0.504 0.049
```

Calculated values
Fermi-level density of states, states/eV/atom: 0.0533
Volume, Å³/atom: 22.84
SG: Fmm2
Electronic total energy, eV per cell: -32.09

A geometry-optimized Ce2MnSi structure, computed with PBE.

```
Ce2MnSi
1.0
1.514 0.874 9.663
-1.514 0.874 9.663
0.000 -1.748 9.663
Ce Mn Si
2 1 1
direct
0.079 0.079 0.079
0.921 0.921 0.921
0.000 0.000 0.000
0.500 0.500 0.500
```

Calculated values
Energy relative to the elements, uncorrected, kcal/mol of atoms: 5.4
Fermi-level density of states, states/eV/atom: 1.1305
Volume, Å³/atom: 19.19
SG: R-3m
Electronic total energy, eV per cell: -25.52

What is the electronic total energy in the third record?
-25.52 eV per cell

What is the Fermi-level density of states in the second record?
0.0533 states/eV/atom